Entry 1:
Computed, not measured: a relaxed Ti2AgOs crystal at the PBE level of DFT.

Calculated values
Volume = 63.5 Å³ per cell
Crystal system = tetragonal
ΔE_f = -0.197 eV per atom

Unit cell a=4.510 b=4.510 c=3.123 alpha=90.00 beta=90.00 gamma=90.00
Element x y z (fractional)
Ti1 0.000 0.500 0.000
Ti2 0.500 0.000 0.000
Ag1 0.000 0.000 0.500
Os1 0.500 0.500 0.500

---

Entry 2:
Computed, not measured: a relaxed TiAgOs3 crystal at the PBE level of DFT.

Calculated values
Volume = 94.9 Å³ per cell
Crystal system = cubic
ΔE_f = 1.837 eV per atom
Polymorph energy (0 for the lowest one) = 0.000 eV per formula unit

Unit cell a=4.561 b=4.561 c=4.561 alpha=90.00 beta=90.00 gamma=90.00
Element x y z (fractional)
Ti1 0.000 0.000 0.000
Ag1 0.500 0.500 0.500
Os1 0.000 0.000 0.500
Os2 0.000 0.500 0.000
Os3 0.500 0.000 0.000

---

Entry 3:
Computed, not measured: a relaxed Ti5AgOs4 crystal at the PBE level of DFT.

Calculated values
Volume = 153.8 Å³ per cell
Crystal system = tetragonal
ΔE_f = -0.535 eV per atom

Unit cell a=3.079 b=3.079 c=16.215 alpha=90.00 beta=90.00 gamma=90.00
Element x y z (fractional)
Ti1 0.000 0.000 0.000
Ti2 0.000 0.000 0.191
Ti3 0.000 0.000 0.382
Ti4 0.000 0.000 0.618
Ti5 0.000 0.000 0.809
Ag1 0.500 0.500 0.500
Os1 0.500 0.500 0.096
Os2 0.500 0.500 0.289
Os3 0.500 0.500 0.711
Os4 0.500 0.500 0.904

---

Entry 4:
Computed, not measured: a relaxed TiAgOs3 crystal at the PBE level of DFT.

Calculated values
Volume = 103.7 Å³ per cell
Crystal system = cubic
ΔE_f = 2.765 eV per atom
Polymorph energy (0 for the lowest one) = 4.639 eV per formula unit

Unit cell a=4.698 b=4.698 c=4.698 alpha=90.00 beta=90.00 gamma=90.00
Element x y z (fractional)
Ti1 0.000 0.000 0.000
Ag1 0.500 0.500 0.500
Os1 0.000 0.500 0.500
Os2 0.500 0.000 0.500
Os3 0.500 0.500 0.000